Arrangement 1

Entry from Alexandria: a relaxed structure of ZnCoI2O (GGA+U).

The structure in CIF format:
```
data_ZnCoI2O
_cell_length_a 5.680
_cell_length_b 5.680
_cell_length_c 3.614
_cell_angle_alpha 90.00
_cell_angle_beta 90.00
_cell_angle_gamma 90.00
_symmetry_space_group_name_H-M 'P 4/m m m'
_symmetry_Int_Tables_number 123
_symmetry_space_group_name_Hall '-P 4 2'
loop_
_atom_site_label
_atom_site_type_symbol
_atom_site_fract_x
_atom_site_fract_y
_atom_site_fract_z
Zn1 Zn 0.000 0.000 0.000
Co1 Co 0.500 0.500 0.500
I1 I 0.000 0.500 0.500
O1 O 0.500 0.500 0.000
```

Summary:
M_tot	3.45	μB per cell
Fermi-level density of states	3.636	states/eV per cell

***

Arrangement 2

Entry from Alexandria: a relaxed structure of ZnCoI2O (GGA+U).

The structure in CIF format:
```
data_ZnCoI2O
_cell_length_a 5.694
_cell_length_b 5.694
_cell_length_c 3.703
_cell_angle_alpha 90.00
_cell_angle_beta 90.00
_cell_angle_gamma 90.00
_symmetry_space_group_name_H-M 'P 4/m m m'
_symmetry_Int_Tables_number 123
_symmetry_space_group_name_Hall '-P 4 2'
loop_
_atom_site_label
_atom_site_type_symbol
_atom_site_fract_x
_atom_site_fract_y
_atom_site_fract_z
Zn1 Zn 0.000 0.000 0.000
Co1 Co 0.500 0.500 0.500
I1 I 0.000 0.500 0.000
O1 O 0.000 0.000 0.500
```

Summary:
M_tot	2.85	μB per cell
Fermi-level density of states	7.373	states/eV per cell

***

Most stable = arrangement 1